[1]
# K2Sn4HgAu3 GGA-PBE relaxed
data_K2Sn4HgAu3
_chemical_formula_sum 'K2 Sn4 Hg1 Au3'
_cell_length_a 4.914
_cell_length_b 4.914
_cell_length_c 11.429
_cell_angle_alpha 90.00
_cell_angle_beta 90.00
_cell_angle_gamma 90.00
_symmetry_space_group_name_H-M 'P -4 m 2'
_symmetry_Int_Tables_number 115
loop_
_symmetry_equiv_pos_as_xyz
'x,y,z'
'y,-x,-z'
'-x,-y,z'
'-y,x,-z'
'-x,y,z'
'-y,-x,-z'
'x,-y,z'
'y,x,-z'
loop_
_atom_site_label
_atom_site_fract_x
_atom_site_fract_y
_atom_site_fract_z
_atom_site_occupancy
K1 0.000 0.500 0.245 1
Sn1 0.000 0.000 0.500 1
Sn2 0.000 0.500 0.867 1
Sn3 0.500 0.500 0.500 1
Hg1 0.500 0.500 0.000 1
Au1 0.000 0.000 0.000 1
Au2 0.000 0.500 0.626 1
# Total moment in μB per atom: 0.000
# Fermi-level density of states in states/eV/f.u.: 6.25
# ΔE_f in meV per atom: -257


[2]
# LaSm3YTm GGA-PBE relaxed
data_LaSm3YTm
_chemical_formula_sum 'La2 Sm6 Y2 Tm2'
_cell_length_a 8.070
_cell_length_b 5.136
_cell_length_c 10.242
_cell_angle_alpha 90.00
_cell_angle_beta 108.61
_cell_angle_gamma 90.00
_symmetry_space_group_name_H-M 'P 1 21/m 1'
_symmetry_Int_Tables_number 11
loop_
_symmetry_equiv_pos_as_xyz
'x,y,z'
'-x,-y,-z'
'-x,y+1/2,-z'
'x,-y+1/2,z'
loop_
_atom_site_label
_atom_site_fract_x
_atom_site_fract_y
_atom_site_fract_z
_atom_site_occupancy
La1 0.169 0.250 0.293 1
Sm1 0.168 0.250 0.791 1
Sm2 0.169 0.750 0.042 1
Sm3 0.171 0.750 0.543 1
Y1 0.498 0.750 0.875 1
Tm1 0.500 0.250 0.626 1
# Total moment in μB per atom: 0.000
# Fermi-level density of states in states/eV/f.u.: 9.74
# ΔE_f in meV per atom: 28


[3]
# MgFeRu GGA-PBE relaxed
data_MgFeRu
_chemical_formula_sum 'Mg2 Fe2 Ru2'
_cell_length_a 4.3066
_cell_length_b 4.3066
_cell_length_c 5.4487
_cell_angle_alpha 90.00
_cell_angle_beta 90.00
_cell_angle_gamma 120.00
_symmetry_space_group_name_H-M 'P 63/m m c'
_symmetry_Int_Tables_number 194
_symmetry_space_group_name_Hall '-P 6c 2c'
loop_
_atom_site_label
_atom_site_fract_x
_atom_site_fract_y
_atom_site_fract_z
_atom_site_occupancy
Mg1 0.0000 0.0000 0.0000 1
Fe1 0.3333 0.6667 0.2500 1
Ru1 0.3333 0.6667 0.7500 1
# Total moment in μB per atom: 1.011
# Fermi-level density of states in states/eV/f.u.: 2.31
# ΔE_f in meV per atom: 169


Q: Among the records above, which one has the lowest ΔE_f?
A: K2Sn4HgAu3


Q: Which of these has the lowest ΔE_f?
A: K2Sn4HgAu3


Q: What is the ΔE_f in the third record?
A: 169 meV per atom


Q: Number 3 is which compound?
A: MgFeRu